# meta-GGA SCAN BaCaF2, single point on PBEsol structure
# * formation energy (no corrections): -3.06 eV per atom
# * final energy: -17.135 eV/atom
# * space-group type: R-3m
# * density of states at the Fermi level: 0.158 states/eV per atom
data_BaCaF2
_chemical_formula_sum 'Ba1 Ca1 F2'
_symmetry_space_group_name_H-M 'P 1'
_symmetry_Int_Tables_number 1
_symmetry_space_group_name_Hall 'P 1'
_cell_length_a 4.368
_cell_length_b 4.368
_cell_length_c 6.751
_cell_angle_alpha 71.13
_cell_angle_beta 71.13
_cell_angle_gamma 60.00
loop_
_atom_site_label
_atom_site_fract_x
_atom_site_fract_y
_atom_site_fract_z
_atom_site_occupancy
Ca1 0.000 0.000 0.000 1
Ba1 0.500 0.500 0.500 1
F1 0.882 0.882 0.355 1
F2 0.118 0.118 0.645 1